{
  "formula": "TaHO2F",
  "functional": "PBE",
  "state": "optimized geometry",
  "space_group": "P4/mmm",
  "lattice_angstrom": [[3.898, 0.000, 0.000], [0.000, 3.898, 0.000], [0.000, 0.000, 4.124]],
  "species": ["H", "F", "O", "O", "Ta"],
  "fractional_positions": [[0.500, 0.500, 0.500], [0.000, 0.000, 0.500], [0.000, 0.500, 0.000], [0.500, 0.000, 0.000], [0.000, 0.000, 0.000]]
}

***

{
  "formula": "TcHO2F",
  "functional": "PBE",
  "state": "optimized geometry",
  "space_group": "P4/mmm",
  "lattice_angstrom": [[3.822, 0.000, 0.000], [0.000, 3.822, 0.000], [0.000, 0.000, 2.605]],
  "species": ["H", "Tc", "O", "O", "F"],
  "fractional_positions": [[0.000, 0.000, 0.000], [0.500, 0.500, 0.500], [0.000, 0.500, 0.000], [0.500, 0.000, 0.000], [0.000, 0.000, 0.500]]
}

***

{
  "formula": "TcHO2F",
  "functional": "PBE",
  "state": "optimized geometry",
  "space_group": "P4/mmm",
  "lattice_angstrom": [[3.763, 0.000, 0.000], [0.000, 3.763, 0.000], [0.000, 0.000, 4.101]],
  "species": ["H", "Tc", "O", "O", "F"],
  "fractional_positions": [[0.500, 0.500, 0.500], [0.000, 0.000, 0.000], [0.000, 0.500, 0.000], [0.500, 0.000, 0.000], [0.000, 0.000, 0.500]]
}

***

{
  "formula": "TiHO2F",
  "functional": "PBE",
  "state": "optimized geometry",
  "space_group": "P4/mmm",
  "lattice_angstrom": [[3.491, 0.000, 0.000], [0.000, 3.491, 0.000], [0.000, 0.000, 2.967]],
  "species": ["H", "F", "O", "O", "Ti"],
  "fractional_positions": [[0.000, 0.000, 0.000], [0.000, 0.000, 0.500], [0.000, 0.500, 0.000], [0.500, 0.000, 0.000], [0.500, 0.500, 0.500]]
}

***

{
  "formula": "TiHO2F",
  "functional": "PBE",
  "state": "optimized geometry",
  "space_group": "P4/mmm",
  "lattice_angstrom": [[3.826, 0.000, 0.000], [0.000, 3.826, 0.000], [0.000, 0.000, 3.957]],
  "species": ["H", "F", "O", "O", "Ti"],
  "fractional_positions": [[0.500, 0.500, 0.500], [0.000, 0.000, 0.500], [0.000, 0.500, 0.000], [0.500, 0.000, 0.000], [0.000, 0.000, 0.000]]
}

***

{
  "formula": "TiH6O2F6",
  "functional": "PBE",
  "state": "optimized geometry",
  "space_group": "P321",
  "lattice_angstrom": [[5.521, 0.000, 0.000], [-2.760, 4.781, 0.000], [0.000, 0.000, 5.958]],
  "species": ["Ti", "H", "H", "H", "H", "H", "H", "O", "O", "F", "F", "F", "F", "F", "F"],
  "fractional_positions": [[0.000, 0.000, 0.000], [0.159, 0.490, 0.280], [0.510, 0.669, 0.280], [0.490, 0.159, 0.720], [0.331, 0.841, 0.280], [0.669, 0.510, 0.720], [0.841, 0.331, 0.720], [0.333, 0.667, 0.333], [0.667, 0.333, 0.667], [0.304, 0.087, 0.196], [0.913, 0.217, 0.196], [0.087, 0.304, 0.804], [0.783, 0.696, 0.196], [0.217, 0.913, 0.804], [0.696, 0.783, 0.804]]
}

***

{
  "formula": "TiH2OF",
  "functional": "PBE",
  "state": "optimized geometry",
  "space_group": "P4/mmm",
  "lattice_angstrom": [[2.872, 0.000, 0.000], [0.000, 5.947, 0.000], [0.000, 0.000, 2.872]],
  "species": ["H", "H", "F", "O", "Ti"],
  "fractional_positions": [[0.000, 0.000, 0.500], [0.500, 0.000, 0.000], [0.000, 0.500, 0.000], [0.000, 0.000, 0.000], [0.500, 0.500, 0.500]]
}

***

{
  "formula": "TlHO2F",
  "functional": "PBE",
  "state": "optimized geometry",
  "space_group": "P4/mmm",
  "lattice_angstrom": [[3.477, 0.000, 0.000], [0.000, 3.477, 0.000], [0.000, 0.000, 3.928]],
  "species": ["H", "Tl", "O", "O", "F"],
  "fractional_positions": [[0.000, 0.000, 0.000], [0.500, 0.500, 0.500], [0.000, 0.500, 0.000], [0.500, 0.000, 0.000], [0.000, 0.000, 0.500]]
}

***

{
  "formula": "TlHO2F",
  "functional": "PBE",
  "state": "optimized geometry",
  "space_group": "P4/mmm",
  "lattice_angstrom": [[4.369, 0.000, 0.000], [0.000, 4.369, 0.000], [0.000, 0.000, 4.458]],
  "species": ["H", "Tl", "O", "O", "F"],
  "fractional_positions": [[0.500, 0.500, 0.500], [0.000, 0.000, 0.000], [0.000, 0.500, 0.000], [0.500, 0.000, 0.000], [0.000, 0.000, 0.500]]
}

***

{
  "formula": "TlH6O2F2",
  "functional": "PBE",
  "state": "optimized geometry",
  "space_group": "P-1",
  "lattice_angstrom": [[-3.767, 1.701, -0.469], [-4.148, -3.424, 2.662], [1.661, 4.910, 3.285]],
  "species": ["Tl", "H", "H", "H", "H", "H", "H", "O", "O", "F", "F"],
  "fractional_positions": [[0.500, 0.000, 0.500], [0.355, 0.666, 0.836], [0.108, 0.321, 0.132], [0.118, 0.757, 0.657], [0.892, 0.679, 0.868], [0.882, 0.243, 0.343], [0.645, 0.334, 0.164], [0.167, 0.637, 0.738], [0.833, 0.363, 0.262], [0.650, 0.711, 0.974], [0.350, 0.289, 0.026]]
}

***

{
  "formula": "Tl2HO2F2",
  "functional": "PBE",
  "state": "optimized geometry",
  "space_group": "P-3m1",
  "lattice_angstrom": [[3.819, 0.000, 0.000], [-1.909, 3.307, 0.000], [0.000, 0.000, 8.707]],
  "species": ["Tl", "Tl", "H", "O", "O", "F", "F"],
  "fractional_positions": [[0.667, 0.333, 0.323], [0.333, 0.667, 0.677], [0.000, 0.000, 0.000], [0.667, 0.333, 0.627], [0.333, 0.667, 0.373], [0.000, 0.000, 0.868], [0.000, 0.000, 0.132]]
}

***

no.,total DFT energy (no corrections) (eV/atom),V (Å³ per atom)
1,-7.239,12.5
2,-5.207,7.6
3,-5.886,11.6
4,-5.679,7.2
5,-6.141,11.6
6,-5.274,10.5
7,-4.783,9.8
8,-3.496,9.5
9,-3.141,17.0
10,-4.351,11.7
11,-4.259,15.7